Entry 1:
! PBE Sr3Sb, relaxed; values from VASP
! Polymorph energy (0 for the lowest one) in eV/atom: 0.113
! Calculated volume in Å³ per cell: 322.1
! ΔE_f (raw) in eV/atom: -0.47
&SYSTEM
  ibrav = 0, nat = 8, ntyp = 2
/
ATOMIC_SPECIES
Sr 87.62 Sr.upf
Sb 121.76 Sb.upf
ATOMIC_POSITIONS crystal
Sr 0.0000 0.5000 0.5000
Sr 0.1214 0.1214 0.0000
Sr 0.2500 0.7500 0.5000
Sr 0.5000 0.0000 0.5000
Sr 0.7500 0.2500 0.5000
Sr 0.8786 0.8786 0.0000
Sb 0.3944 0.3944 0.0000
Sb 0.6056 0.6056 0.0000
CELL_PARAMETERS angstrom
-2.6015 2.6015 11.8975
2.6015 -2.6015 11.8975
2.6015 2.6015 -11.8975



Entry 2:
! PBE BeOs2Rh, relaxed; values from VASP
! Calculated volume in Å³ per cell: 52.9
&SYSTEM
  ibrav = 0, nat = 4, ntyp = 3
/
ATOMIC_SPECIES
Be 9.01 Be.upf
Os 190.23 Os.upf
Rh 102.91 Rh.upf
ATOMIC_POSITIONS crystal
Be 0.0000 0.0000 0.0000
Os 0.2500 0.7500 0.5000
Os 0.5000 0.5000 0.0000
Rh 0.7500 0.2500 0.5000
CELL_PARAMETERS angstrom
-1.8858 1.8858 3.7154
1.8858 -1.8858 3.7154
1.8858 1.8858 -3.7154



Entry 3:
! PBE CaTa2As, relaxed; values from VASP
! Calculated volume in Å³ per cell: 88.0
&SYSTEM
  ibrav = 0, nat = 4, ntyp = 3
/
ATOMIC_SPECIES
Ca 40.08 Ca.upf
Ta 180.95 Ta.upf
As 74.92 As.upf
ATOMIC_POSITIONS crystal
Ca 0.0000 0.0000 0.0000
Ta 0.0000 0.2609 0.2609
Ta 0.5000 0.7273 0.7273
As 0.5000 0.4019 0.4019
CELL_PARAMETERS angstrom
4.2308 0.0000 0.0000
0.0000 1.7624 5.9011
0.0000 -1.7624 5.9011



Entry 4:
! PBE Cd5Fe, relaxed; values from VASP
! Polymorph energy (0 for the lowest one) in eV/atom: 0.000
! Calculated volume in Å³ per cell: 120.1
&SYSTEM
  ibrav = 0, nat = 6, ntyp = 2
/
ATOMIC_SPECIES
Cd 112.41 Cd.upf
Fe 55.84 Fe.upf
ATOMIC_POSITIONS crystal
Cd 0.0000 0.0000 0.0000
Cd 0.0000 0.3052 0.3052
Cd 0.5000 0.1032 0.1032
Cd 0.5000 0.4264 0.4264
Cd 0.5000 0.7540 0.7540
Fe 0.0000 0.6528 0.6528
CELL_PARAMETERS angstrom
4.7871 0.0000 0.0000
0.0000 1.5020 8.3521
0.0000 -1.5020 8.3521



Entry 5:
! PBE RbTl2Pb5, relaxed; values from VASP
! Calculated volume in Å³ per cell: 268.0
&SYSTEM
  ibrav = 0, nat = 8, ntyp = 3
/
ATOMIC_SPECIES
Rb 85.47 Rb.upf
Tl 204.38 Tl.upf
Pb 207.20 Pb.upf
ATOMIC_POSITIONS crystal
Rb 0.0000 0.0000 0.0000
Tl 0.2420 0.2420 0.7421
Tl 0.7580 0.7580 0.2579
Pb 0.1517 0.5817 0.3637
Pb 0.4183 0.8483 0.6363
Pb 0.5000 0.5000 0.0000
Pb 0.5817 0.1517 0.3637
Pb 0.8483 0.4183 0.6363
CELL_PARAMETERS angstrom
6.8830 -5.5350 0.0000
6.8830 5.5350 0.0000
-0.9230 0.0000 3.5168



Entry 6:
! PBE TlCu6Pd5, relaxed; values from VASP
! Calculated volume in Å³ per cell: 172.3
&SYSTEM
  ibrav = 0, nat = 12, ntyp = 3
/
ATOMIC_SPECIES
Tl 204.38 Tl.upf
Cu 63.55 Cu.upf
Pd 106.42 Pd.upf
ATOMIC_POSITIONS crystal
Tl 0.0000 0.0000 0.0000
Cu 0.0885 0.8281 0.2604
Cu 0.2698 0.5000 0.7698
Cu 0.4322 0.1719 0.2604
Cu 0.5678 0.8281 0.7396
Cu 0.7302 0.5000 0.2302
Cu 0.9115 0.1719 0.7396
Pd 0.1611 0.6611 0.5000
Pd 0.3288 0.3288 0.0000
Pd 0.5000 0.0000 0.5000
Pd 0.6712 0.6712 0.0000
Pd 0.8389 0.3389 0.5000
CELL_PARAMETERS angstrom
-2.0208 3.5404 6.0199
2.0208 -3.5404 6.0199
2.0208 3.5404 -6.0199



Entry 7:
! PBE TbHfRu, relaxed; values from VASP
! Polymorph energy (0 for the lowest one) in eV/atom: 0.096
! Calculated volume in Å³ per cell: 64.5
&SYSTEM
  ibrav = 0, nat = 3, ntyp = 3
/
ATOMIC_SPECIES
Tb 158.93 Tb.upf
Hf 178.49 Hf.upf
Ru 101.07 Ru.upf
ATOMIC_POSITIONS crystal
Tb 0.0000 0.0000 0.0000
Hf 0.2847 0.2847 0.0000
Ru 0.6649 0.6649 0.0000
CELL_PARAMETERS angstrom
-1.6652 1.6652 5.8167
1.6652 -1.6652 5.8167
1.6652 1.6652 -5.8167



Entry 8:
! PBE ZrScRePd, relaxed; values from VASP
! Calculated volume in Å³ per cell: 71.6
&SYSTEM
  ibrav = 0, nat = 4, ntyp = 4
/
ATOMIC_SPECIES
Zr 91.22 Zr.upf
Sc 44.96 Sc.upf
Re 186.21 Re.upf
Pd 106.42 Pd.upf
ATOMIC_POSITIONS crystal
Zr 0.0000 0.0000 0.0000
Sc 0.5000 0.5000 0.5000
Re 0.2500 0.2500 0.2500
Pd 0.7500 0.7500 0.7500
CELL_PARAMETERS angstrom
0.0000 3.2954 3.2954
3.2954 0.0000 3.2954
3.2954 3.2954 0.0000



Entry 9:
! PBE Pa2Ge2Mo, relaxed; values from VASP
! Polymorph energy (0 for the lowest one) in eV/atom: 0.000
! Calculated volume in Å³ per cell: 206.7
&SYSTEM
  ibrav = 0, nat = 10, ntyp = 3
/
ATOMIC_SPECIES
Pa 231.04 Pa.upf
Ge 72.64 Ge.upf
Mo 95.94 Mo.upf
ATOMIC_POSITIONS crystal
Pa 0.1756 0.3244 0.0000
Pa 0.3244 0.8244 0.0000
Pa 0.6756 0.1756 0.0000
Pa 0.8244 0.6756 0.0000
Ge 0.1314 0.6314 0.5000
Ge 0.3686 0.1314 0.5000
Ge 0.6314 0.8686 0.5000
Ge 0.8686 0.3686 0.5000
Mo 0.0000 0.0000 0.5000
Mo 0.5000 0.5000 0.5000
CELL_PARAMETERS angstrom
6.8946 0.0000 0.0000
0.0000 6.8946 0.0000
0.0000 0.0000 4.3477



Entry 10:
! PBE Rb3AcPm2S6, relaxed; values from VASP
! Calculated volume in Å³ per cell: 368.5
! ΔE_f (raw) in eV/atom: -1.84
&SYSTEM
  ibrav = 0, nat = 12, ntyp = 4
/
ATOMIC_SPECIES
Rb 85.47 Rb.upf
Ac 227.00 Ac.upf
Pm 145.00 Pm.upf
S 32.06 S.upf
ATOMIC_POSITIONS crystal
Rb 0.0000 0.0000 0.0000
Rb 0.3339 0.6661 0.0000
Rb 0.6661 0.3339 0.0000
Ac 0.5000 0.5000 0.5000
Pm 0.1667 0.8333 0.5000
Pm 0.8333 0.1667 0.5000
S 0.0878 0.4339 0.3019
S 0.2199 0.2199 0.6982
S 0.4339 0.0878 0.3019
S 0.5661 0.9122 0.6981
S 0.7801 0.7801 0.3018
S 0.9122 0.5661 0.6981
CELL_PARAMETERS angstrom
3.7110 -6.4280 0.0000
3.7110 6.4280 0.0000
-2.4755 0.0000 7.7231



Entry 11:
! PBE CoNiSnH6, relaxed; values from VASP
! Calculated volume in Å³ per cell: 73.4
&SYSTEM
  ibrav = 0, nat = 9, ntyp = 4
/
ATOMIC_SPECIES
Co 58.93 Co.upf
Ni 58.69 Ni.upf
Sn 118.71 Sn.upf
H 1.01 H.upf
ATOMIC_POSITIONS crystal
Co 0.0000 0.0000 0.0000
Ni 0.6171 0.6030 0.0667
Sn 0.3352 0.1447 0.4089
H 0.0045 0.3290 0.0884
H 0.2101 0.7517 0.2598
H 0.3511 0.7433 0.8284
H 0.7322 0.3082 0.8441
H 0.7853 0.7567 0.2717
H 0.8647 0.8301 0.8062
CELL_PARAMETERS angstrom
4.2532 0.0000 0.0000
1.4561 4.1529 0.0000
1.4515 0.6002 4.1538



Entry 12:
! PBE Ba2Cu2Te2S, relaxed; values from VASP
! Calculated volume in Å³ per cell: 198.2
! ΔE_f (raw) in eV/atom: -1.09
&SYSTEM
  ibrav = 0, nat = 7, ntyp = 4
/
ATOMIC_SPECIES
Ba 137.33 Ba.upf
Cu 63.55 Cu.upf
Te 127.60 Te.upf
S 32.06 S.upf
ATOMIC_POSITIONS crystal
Ba 0.0421 0.0421 0.2895
Ba 0.9579 0.9579 0.7105
Cu 0.2956 0.2956 0.9355
Cu 0.7044 0.7044 0.0645
Te 0.3142 0.3142 0.2807
Te 0.6858 0.6858 0.7193
S 0.5000 0.5000 0.0000
CELL_PARAMETERS angstrom
6.4420 -2.1933 0.0000
6.4420 2.1933 0.0000
-4.2242 0.0000 7.0122



Entry 13:
! PBE CsRePd2Au, relaxed; values from VASP
! Calculated volume in Å³ per cell: 146.7
&SYSTEM
  ibrav = 0, nat = 5, ntyp = 4
/
ATOMIC_SPECIES
Cs 132.91 Cs.upf
Re 186.21 Re.upf
Pd 106.42 Pd.upf
Au 196.97 Au.upf
ATOMIC_POSITIONS crystal
Cs 0.0000 0.0000 0.0000
Re 0.0000 0.0000 0.5000
Pd 0.0000 0.5000 0.5000
Pd 0.5000 0.0000 0.5000
Au 0.5000 0.5000 0.0000
CELL_PARAMETERS angstrom
4.8454 0.0000 0.0000
0.0000 4.8454 0.0000
0.0000 0.0000 6.2477



Entry 14:
! PBE CsNaPO2, relaxed; values from VASP
! Calculated volume in Å³ per cell: 121.4
! ΔE_f (raw) in eV/atom: 0.68
&SYSTEM
  ibrav = 0, nat = 5, ntyp = 4
/
ATOMIC_SPECIES
Cs 132.91 Cs.upf
Na 22.99 Na.upf
P 30.97 P.upf
O 16.00 O.upf
ATOMIC_POSITIONS crystal
Cs 0.0000 0.0000 0.0000
Na 0.5000 0.5000 0.5000
P 0.0000 0.0000 0.5000
O 0.0000 0.5000 0.0000
O 0.5000 0.0000 0.0000
CELL_PARAMETERS angstrom
4.6148 0.0000 0.0000
0.0000 4.6148 0.0000
0.0000 0.0000 5.7021



Entry 15:
! PBE CoGe, relaxed; values from VASP
! Calculated volume in Å³ per cell: 50.1
&SYSTEM
  ibrav = 0, nat = 4, ntyp = 2
/
ATOMIC_SPECIES
Co 58.93 Co.upf
Ge 72.64 Ge.upf
ATOMIC_POSITIONS crystal
Co 0.1123 0.1123 0.2981
Co 0.8877 0.8877 0.7019
Ge 0.3787 0.3787 0.1958
Ge 0.6213 0.6213 0.8042
CELL_PARAMETERS angstrom
4.2828 -1.4924 0.0000
4.2828 1.4924 0.0000
-0.9234 0.0000 3.9212



Entry 16:
! PBE ScTa2Cd, relaxed; values from VASP
! Calculated volume in Å³ per cell: 78.6
&SYSTEM
  ibrav = 0, nat = 4, ntyp = 3
/
ATOMIC_SPECIES
Sc 44.96 Sc.upf
Ta 180.95 Ta.upf
Cd 112.41 Cd.upf
ATOMIC_POSITIONS crystal
Sc 0.0000 0.0000 0.0000
Ta 0.5000 0.5000 0.2491
Ta 0.5000 0.5000 0.7509
Cd 0.0000 0.0000 0.5000
CELL_PARAMETERS angstrom
2.0344 -2.0443 0.0000
2.0344 2.0443 0.0000
0.0000 0.0000 9.4542



Entry 17:
! PBE Cr2MoSe, relaxed; values from VASP
! Calculated volume in Å³ per cell: 56.1
! ΔE_f (raw) in eV/atom: 0.29
&SYSTEM
  ibrav = 0, nat = 4, ntyp = 3
/
ATOMIC_SPECIES
Cr 52.00 Cr.upf
Mo 95.94 Mo.upf
Se 78.96 Se.upf
ATOMIC_POSITIONS crystal
Cr 0.0000 0.0000 0.0000
Cr 0.3242 0.5000 0.7860
Mo 0.7514 0.5000 0.2606
Se 0.3043 0.0000 0.5230
CELL_PARAMETERS angstrom
2.9057 0.0000 0.0000
0.0000 4.1373 0.0000
-1.0484 0.0000 4.6699



Entry 18:
! PBE Si2SnRuCl, relaxed; values from VASP
! Calculated volume in Å³ per cell: 112.7
! ΔE_f (raw) in eV/atom: -0.08
&SYSTEM
  ibrav = 0, nat = 5, ntyp = 4
/
ATOMIC_SPECIES
Si 28.09 Si.upf
Sn 118.71 Sn.upf
Ru 101.07 Ru.upf
Cl 35.45 Cl.upf
ATOMIC_POSITIONS crystal
Si 0.0000 0.5000 0.0000
Si 0.5000 0.0000 0.0000
Sn 0.0000 0.0000 0.5000
Ru 0.0000 0.0000 0.0000
Cl 0.5000 0.5000 0.5000
CELL_PARAMETERS angstrom
4.5695 0.0000 0.0000
0.0000 4.5695 0.0000
0.0000 0.0000 5.3950



Entry 19:
! PBE RbNiSe, relaxed; values from VASP
! Calculated volume in Å³ per cell: 180.3
! ΔE_f (raw) in eV/atom: -0.46
&SYSTEM
  ibrav = 0, nat = 6, ntyp = 3
/
ATOMIC_SPECIES
Rb 85.47 Rb.upf
Ni 58.69 Ni.upf
Se 78.96 Se.upf
ATOMIC_POSITIONS crystal
Rb 0.2500 0.2500 0.2142
Rb 0.7500 0.7500 0.7858
Ni 0.2500 0.7500 0.5000
Ni 0.7500 0.2500 0.5000
Se 0.2500 0.2500 0.6202
Se 0.7500 0.7500 0.3798
CELL_PARAMETERS angstrom
4.0883 0.0000 0.0000
0.0000 4.0883 0.0000
0.0000 0.0000 10.7859



Entry 20:
! PBE Na3NdPa2N6, relaxed; values from VASP
! Calculated volume in Å³ per cell: 192.8
! ΔE_f (raw) in eV/atom: -0.90
&SYSTEM
  ibrav = 0, nat = 12, ntyp = 4
/
ATOMIC_SPECIES
Na 22.99 Na.upf
Nd 144.24 Nd.upf
Pa 231.04 Pa.upf
N 14.01 N.upf
ATOMIC_POSITIONS crystal
Na 0.0000 0.0000 0.0000
Na 0.3302 0.6698 0.0000
Na 0.6698 0.3302 0.0000
Nd 0.5000 0.5000 0.5000
Pa 0.1634 0.8366 0.5000
Pa 0.8366 0.1634 0.5000
N 0.0690 0.4178 0.3076
N 0.2107 0.2107 0.6948
N 0.4178 0.0690 0.3076
N 0.5822 0.9310 0.6924
N 0.7893 0.7893 0.3052
N 0.9310 0.5822 0.6924
CELL_PARAMETERS angstrom
3.0435 -5.5063 0.0000
3.0435 5.5063 0.0000
-1.8464 0.0000 5.7533



What did we get for calculated total energy? Answer: -0.1016, -0.3033, -0.2813, -0.0729, -0.1121, -0.1653, -0.3031, -0.3157, -0.3017, -0.1941, -0.1485, -0.1580, -0.1477, -0.1036, -0.2201, -0.2756, -0.2978, -0.1939, -0.1423, -0.2708 Ha/atom, in the order shown.